The following is a DFT calculation (PBE) of crystalline TbDyTlOs at its relaxed geometry.

Unit cell a=5.076 b=5.076 c=5.076 alpha=60.00 beta=60.00 gamma=60.00
Fractional coordinates of all 4 atoms:
Tb1 0.000 0.000 0.000
Dy1 0.500 0.500 0.500
Tl1 0.750 0.750 0.750
Os1 0.250 0.250 0.250

Output
total DFT energy (no corrections)	-23.4	eV per cell
ΔH_f (0 K)	-0.15	eV/atom
size of the total moment	0.00	μB/atom
density	12.86	Mg/m³